No. 1
# KZrTe2AuS | OQMD | PBE | relaxed
data_KZrTe2AuS
_space_group_name_H-M_alt 'P 1'
_space_group_IT_number 1
_cell_length_a 8.1931
_cell_length_b 8.1931
_cell_length_c 10.4029
_cell_angle_alpha 90.00
_cell_angle_beta 90.00
_cell_angle_gamma 151.05
loop_
_space_group_symop_operation_xyz
'x,y,z'
loop_
_atom_site_label
_atom_site_fract_x
_atom_site_fract_y
_atom_site_fract_z
Au1 0.5418 0.4582 0.2500
Au2 0.4582 0.5418 0.7500
K1 0.2539 0.7461 0.2500
K2 0.7461 0.2539 0.7500
S1 0.9471 0.0529 0.2500
S2 0.0529 0.9471 0.7500
Te1 0.6339 0.3661 0.0305
Te2 0.6339 0.3661 0.4695
Te3 0.3661 0.6339 0.5305
Te4 0.3661 0.6339 0.9695
Zr1 0.0000 0.0000 0.0000
Zr2 0.0000 0.0000 0.5000
# total DFT energy (no corrections): -0.1731 hartree per atom
# SG: Cmcm (63)
# total magnetic moment: 0.0 Bohr magnetons per cell

No. 2
# TbMgCd | OQMD | PBE | relaxed
data_TbMgCd
_space_group_name_H-M_alt 'P 1'
_space_group_IT_number 1
_cell_length_a 4.8900
_cell_length_b 4.8900
_cell_length_c 4.8900
_cell_angle_alpha 60.00
_cell_angle_beta 60.00
_cell_angle_gamma 60.00
loop_
_space_group_symop_operation_xyz
'x,y,z'
loop_
_atom_site_label
_atom_site_fract_x
_atom_site_fract_y
_atom_site_fract_z
Cd1 0.2500 0.2500 0.2500
Mg1 0.0000 0.0000 0.0000
Tb1 0.7500 0.7500 0.7500
# total DFT energy (no corrections): -0.0810 hartree per atom
# SG: F-43m (216)
# total magnetic moment: 0.0 Bohr magnetons per cell

No. 3
# ErFePd | OQMD | PBE | relaxed
data_ErFePd
_space_group_name_H-M_alt 'P 1'
_space_group_IT_number 1
_cell_length_a 4.4886
_cell_length_b 4.4886
_cell_length_c 4.4886
_cell_angle_alpha 60.00
_cell_angle_beta 60.00
_cell_angle_gamma 60.00
loop_
_space_group_symop_operation_xyz
'x,y,z'
loop_
_atom_site_label
_atom_site_fract_x
_atom_site_fract_y
_atom_site_fract_z
Er1 0.5000 0.5000 0.5000
Fe1 0.0000 0.0000 0.0000
Pd1 0.2500 0.2500 0.2500
# SG: F-43m (216)
# total magnetic moment: 2.8 Bohr magnetons per cell
# energy of formation from the pure elements: -0.131 eV per formula unit

No. 4
# YHfN2 | OQMD | PBE | relaxed
data_YHfN2
_space_group_name_H-M_alt 'P 1'
_space_group_IT_number 1
_cell_length_a 3.3228
_cell_length_b 3.3228
_cell_length_c 4.6829
_cell_angle_alpha 90.00
_cell_angle_beta 90.00
_cell_angle_gamma 90.00
loop_
_space_group_symop_operation_xyz
'x,y,z'
loop_
_atom_site_label
_atom_site_fract_x
_atom_site_fract_y
_atom_site_fract_z
Hf1 0.0000 0.0000 0.5000
N1 0.0000 0.0000 0.0000
N2 0.5000 0.5000 0.5000
Y1 0.5000 0.5000 0.0000
# total DFT energy (no corrections): -0.3652 hartree per atom
# SG: P4/mmm (123)
# total magnetic moment: 0.0 Bohr magnetons per cell

No. 5
# BeTcBiPb | OQMD | PBE | relaxed
data_BeTcBiPb
_space_group_name_H-M_alt 'P 1'
_space_group_IT_number 1
_cell_length_a 4.8215
_cell_length_b 4.8215
_cell_length_c 4.8215
_cell_angle_alpha 60.00
_cell_angle_beta 60.00
_cell_angle_gamma 60.00
loop_
_space_group_symop_operation_xyz
'x,y,z'
loop_
_atom_site_label
_atom_site_fract_x
_atom_site_fract_y
_atom_site_fract_z
Be1 0.7500 0.7500 0.7500
Bi1 0.0000 0.0000 0.0000
Pb1 0.5000 0.5000 0.5000
Tc1 0.2500 0.2500 0.2500
# SG: F-43m (216)
# total magnetic moment: 0.0 Bohr magnetons per cell
# ΔE to the lowest computed polymorph: 0.0 meV per atom

No. 6
# TbB2ClO4 | OQMD | PBE | relaxed
data_TbB2ClO4
_space_group_name_H-M_alt 'P 1'
_space_group_IT_number 1
_cell_length_a 4.1968
_cell_length_b 6.3099
_cell_length_c 7.8140
_cell_angle_alpha 83.38
_cell_angle_beta 88.45
_cell_angle_gamma 73.45
loop_
_space_group_symop_operation_xyz
'x,y,z'
loop_
_atom_site_label
_atom_site_fract_x
_atom_site_fract_y
_atom_site_fract_z
B1 0.8172 0.6589 0.1529
B2 0.4109 0.4416 0.2010
B3 0.5891 0.5584 0.7990
B4 0.1828 0.3411 0.8471
Cl1 0.8692 0.7951 0.4583
Cl2 0.1308 0.2049 0.5417
O1 0.8489 0.8517 0.0724
O2 0.0727 0.4626 0.1832
O3 0.4966 0.6409 0.1886
O4 0.6040 0.2330 0.2155
O5 0.3960 0.7670 0.7845
O6 0.5034 0.3591 0.8114
O7 0.9273 0.5374 0.8168
O8 0.1511 0.1483 0.9276
Tb1 0.1538 0.0487 0.2194
Tb2 0.8462 0.9513 0.7806
# total DFT energy (no corrections): -0.2797 hartree per atom
# SG: P-1 (2)
# total magnetic moment: 0.0 Bohr magnetons per cell

No. 7
# RbMgSbPt | OQMD | PBE | relaxed
data_RbMgSbPt
_space_group_name_H-M_alt 'P 1'
_space_group_IT_number 1
_cell_length_a 5.2324
_cell_length_b 5.2324
_cell_length_c 5.2324
_cell_angle_alpha 60.00
_cell_angle_beta 60.00
_cell_angle_gamma 60.00
loop_
_space_group_symop_operation_xyz
'x,y,z'
loop_
_atom_site_label
_atom_site_fract_x
_atom_site_fract_y
_atom_site_fract_z
Mg1 0.7500 0.7500 0.7500
Pt1 0.5000 0.5000 0.5000
Rb1 0.2500 0.2500 0.2500
Sb1 0.0000 0.0000 0.0000
# SG: F-43m (216)
# total magnetic moment: 0.0 Bohr magnetons per cell
# ΔE to the lowest computed polymorph: 157.1 meV per atom

No. 8
# PmMgSi | OQMD | PBE | relaxed
data_PmMgSi
_space_group_name_H-M_alt 'P 1'
_space_group_IT_number 1
_cell_length_a 4.7375
_cell_length_b 4.7375
_cell_length_c 4.7375
_cell_angle_alpha 60.00
_cell_angle_beta 60.00
_cell_angle_gamma 60.00
loop_
_space_group_symop_operation_xyz
'x,y,z'
loop_
_atom_site_label
_atom_site_fract_x
_atom_site_fract_y
_atom_site_fract_z
Mg1 0.2500 0.2500 0.2500
Pm1 0.7500 0.7500 0.7500
Si1 0.0000 0.0000 0.0000
# SG: F-43m (216)
# total magnetic moment: 0.0 Bohr magnetons per cell
# ΔE to the lowest computed polymorph: 0.0 meV per atom

No. 9
# HfCl2 | OQMD | PBE | relaxed
data_HfCl2
_space_group_name_H-M_alt 'P 1'
_space_group_IT_number 1
_cell_length_a 5.6491
_cell_length_b 5.6491
_cell_length_c 5.6491
_cell_angle_alpha 60.00
_cell_angle_beta 60.00
_cell_angle_gamma 60.00
loop_
_space_group_symop_operation_xyz
'x,y,z'
loop_
_atom_site_label
_atom_site_fract_x
_atom_site_fract_y
_atom_site_fract_z
Cl1 0.6250 0.6250 0.1250
Cl2 0.6250 0.1250 0.6250
Cl3 0.1250 0.6250 0.6250
Cl4 0.6250 0.6250 0.6250
Hf1 0.0000 0.0000 0.0000
Hf2 0.2500 0.2500 0.2500
# total DFT energy (no corrections): -0.1477 hartree per atom
# SG: Fd-3m (227)
# total magnetic moment: 3.9 Bohr magnetons per cell

No. 10
# Li2LaYSn2Pd2 | OQMD | PBE | relaxed
data_Li2LaYSn2Pd2
_space_group_name_H-M_alt 'P 1'
_space_group_IT_number 1
_cell_length_a 4.8531
_cell_length_b 4.8531
_cell_length_c 6.8678
_cell_angle_alpha 90.00
_cell_angle_beta 90.00
_cell_angle_gamma 90.00
loop_
_space_group_symop_operation_xyz
'x,y,z'
loop_
_atom_site_label
_atom_site_fract_x
_atom_site_fract_y
_atom_site_fract_z
La1 0.5000 0.5000 0.0000
Li1 0.0000 0.5000 0.2543
Li2 0.5000 0.0000 0.7457
Pd1 0.5000 0.0000 0.2611
Pd2 0.0000 0.5000 0.7389
Sn1 0.0000 0.0000 0.0000
Sn2 0.5000 0.5000 0.5000
Y1 0.0000 0.0000 0.5000
# total DFT energy (no corrections): -0.1829 hartree per atom
# SG: P-4m2 (115)
# total magnetic moment: 0.0 Bohr magnetons per cell

No. 11
# BeSbAsW | OQMD | PBE | relaxed
data_BeSbAsW
_space_group_name_H-M_alt 'P 1'
_space_group_IT_number 1
_cell_length_a 4.5580
_cell_length_b 4.5580
_cell_length_c 4.5580
_cell_angle_alpha 60.00
_cell_angle_beta 60.00
_cell_angle_gamma 60.00
loop_
_space_group_symop_operation_xyz
'x,y,z'
loop_
_atom_site_label
_atom_site_fract_x
_atom_site_fract_y
_atom_site_fract_z
As1 0.2500 0.2500 0.2500
Be1 0.7500 0.7500 0.7500
Sb1 0.0000 0.0000 0.0000
W1 0.5000 0.5000 0.5000
# SG: F-43m (216)
# total magnetic moment: 0.4 Bohr magnetons per cell
# ΔE to the lowest computed polymorph: 190.7 meV per atom

No. 12
# Nb2CuPt | OQMD | PBE | relaxed
data_Nb2CuPt
_space_group_name_H-M_alt 'P 1'
_space_group_IT_number 1
_cell_length_a 4.4907
_cell_length_b 4.4907
_cell_length_c 4.4907
_cell_angle_alpha 60.00
_cell_angle_beta 60.00
_cell_angle_gamma 60.00
loop_
_space_group_symop_operation_xyz
'x,y,z'
loop_
_atom_site_label
_atom_site_fract_x
_atom_site_fract_y
_atom_site_fract_z
Cu1 0.2500 0.2500 0.2500
Nb1 0.0000 0.0000 0.0000
Nb2 0.7500 0.7500 0.7500
Pt1 0.5000 0.5000 0.5000
# SG: F-43m (216)
# total magnetic moment: 0.0 Bohr magnetons per cell
# energy of formation from the pure elements: -0.150 eV per formula unit